No. 1
Here is a relaxed structure of Ti2InGeF from Alexandria via LeMat-Bulk. Energies are from PBE.

Results
symmetry	P4/mmm, No. 123
ΔE_f (raw)	-0.132	eV/atom
electronic total energy	-25.7	eV/cell
spin magnetization	0.0	μB per cell

Structure (extended XYZ):
```
5
Lattice="5.008 0.000 0.000 0.000 4.014 0.000 0.000 0.000 5.008" Properties=species:S:1:pos:R:3 pbc="T T T"
Ge 0.000 0.000 0.000
Ti 0.000 0.000 2.504
Ti 2.504 0.000 0.000
F 0.000 2.007 0.000
In 2.504 2.007 2.504
```


No. 2
Here is a relaxed structure of TlInGeF6 from Alexandria via LeMat-Bulk. Energies are from PBE.

Results
symmetry	P1, No. 1
ΔE_f (raw)	-2.215	eV/atom
electronic total energy	-40.9	eV/cell
spin magnetization	0.0	μB per cell

Structure (extended XYZ):
```
9
Lattice="-0.167 -4.788 3.552 4.101 -0.708 4.266 -2.949 2.517 3.272" Properties=species:S:1:pos:R:3 pbc="T T T"
Tl 1.964 -3.102 5.940
In 1.779 1.273 6.838
Ge -0.367 -0.399 4.469
F -0.359 -0.092 2.653
F -2.206 -0.376 4.418
F -0.380 -0.701 6.285
F -0.315 1.422 4.731
F 1.472 -0.413 4.528
F -0.428 -2.221 4.213
```


What is the spin magnetization in the first record? 0.0 μB per cell